P) This record from Alexandria describes an optimized crystal structure of Hf3CuH. The functional is GGA-PBE.

Values from the calculation:
- total moment (μB/f.u.) = 0.00

Cell: 4.312 4.312 4.312 Å, 90.00 90.00 90.00°
Sites, in units of the cell vectors:
H  0.000  0.000  0.000
Hf  0.000  0.000  0.500
Cu  0.500  0.500  0.500
Hf  0.500  0.000  0.000
Hf  0.000  0.500  0.000

Q) This record from Alexandria describes an optimized crystal structure of Hf3CuH. The functional is GGA-PBE.

Values from the calculation:
- total moment (μB/f.u.) = 0.00

Cell: 3.224 5.567 9.511 Å, 87.03 89.99 73.06°
Sites, in units of the cell vectors:
Hf  0.193  0.182  0.919
Hf  0.740  0.087  0.635
Hf  0.948  0.674  0.424
Hf  0.495  0.579  0.140
Hf  0.477  0.616  0.720
H  0.563  0.443  0.344
Hf  0.211  0.145  0.338
Cu  0.781  0.008  0.136
H  0.124  0.318  0.715
Cu  0.909  0.752  0.923

Q) is the most stable structure; the next one sits 0.079 eV/atom above it.